(1)
Density functional theory data (PBE) for CdBi2Pb8 after structural relaxation.

```
CdBi2Pb8
1.0
5.987 0.998 0.830
1.424 9.094 3.035
1.424 4.647 8.385
Cd Bi Pb
1 2 8
Cartesian
0.000 0.000 0.000
3.796 2.843 2.363
5.039 11.895 9.887
5.632 5.446 6.698
3.203 7.157 8.120
6.506 4.383 3.643
2.329 10.356 8.607
5.632 7.581 4.130
3.203 9.292 5.552
2.916 5.356 4.452
5.919 9.383 7.799
```

***

(2)
Density functional theory data (PBE) for BeCd3Ni after structural relaxation.

```
BeCd3Ni
1.0
4.596 0.000 0.000
0.000 4.596 0.000
0.000 0.000 4.596
Ni Be Cd
1 1 3
Cartesian
2.298 2.298 2.298
0.000 0.000 0.000
0.000 2.298 0.000
0.000 0.000 2.298
2.298 0.000 0.000
```

***

Looking at total DFT energy (no corrections) for the records above, in order, we have -0.125; -0.067 Ha/atom.
Looking at polymorph energy (0 for the lowest one) for the records above, in order, we have 0.0; 0.0 meV/atom.
Looking at ΔE_f for the records above, in order, we have 0.8; 3.1 eV/f.u..